Record 1
Tb3Cd2Ag3 | PBE-GGA | relaxed

Structure (extended XYZ):
```
8
Lattice="7.4730 0.0000 0.0000 -3.7365 6.4718 0.0000 0.0000 0.0000 4.0571" Properties=species:S:1:pos:R:3 pbc="T T T"
Tb -2.3799 4.1222 0.0000
Tb 1.3566 2.3497 0.0000
Tb 4.7599 0.0000 0.0000
Cd 0.0000 4.3145 2.0286
Cd 3.7365 2.1573 2.0286
Ag -0.8699 1.5068 2.0286
Ag 1.7399 0.0000 2.0286
Ag 2.8666 4.9650 2.0286
```

Calculated values
Its symmetry is P-62m (189). The calculation puts the energy above the lowest structure with this stoichiometry at 0.066 eV/atom. The energy of formation from the pure elements comes out at -0.19 eV per atom.

Record 2
Tb6Cd5Ag | PBE-GGA | relaxed

Structure (extended XYZ):
```
12
Lattice="5.2692 0.0000 0.0000 0.0000 7.5302 0.0000 -2.6245 0.0000 7.9125" Properties=species:S:1:pos:R:3 pbc="T T T"
Tb 0.0000 1.8465 0.0000
Tb 0.0000 5.6836 0.0000
Tb 0.0062 1.8702 5.3156
Tb 0.0062 5.6599 5.3156
Tb 2.6385 1.8702 2.5969
Tb 2.6385 5.6599 2.5969
Cd 0.0044 3.7651 2.6603
Cd 0.0038 0.0000 2.6996
Cd 2.6346 3.7651 0.0000
Cd 2.6409 0.0000 5.2130
Cd 2.6403 3.7651 5.2522
Ag 2.6346 0.0000 0.0000
```

Calculated values
Its symmetry is P2/m (10). The energy of formation from the pure elements comes out at -0.31 eV per atom.